The following is a PBE calculation of a relaxed structure of RbGe2Te2, from Alexandria.

a = 5.6003 Å, b = 5.6003 Å, c = 6.4646 Å
α = 64.33°, β = 64.33°, γ = 90.00°
Closest atoms and distances in Å follow each position.
Fractional positions:
Te 0.7500 0.2500 0.5000  4 Ge 3.00
Te 0.2500 0.7500 0.5000  4 Ge 3.00
Rb 0.0000 0.0000 0.0000  2 Ge 3.63, 8 Te 3.79
Ge 0.3549 0.3549 0.2903  1 Ge 2.97, 4 Te 3.00
Ge 0.6451 0.6451 0.7097  1 Ge 2.97, 4 Te 3.00

Calculated values
Volume (A^3/atom): 32.05
Symmetry: I4/mmm, No. 139
D(E_F) (states/eV per cell): 1.1
E (eV/cell): -17.83
Magnetic moment (μB/cell): 0.000
Calculated density (g/cm3): 5.04
Uncorrected formation energy (eV per atom): -0.268